# 1
First-principles (PBE) data for a relaxed NpHgBO5 crystal, as listed in Alexandria via LeMat-Bulk.

Output
Magnetic moment in μB/f.u.: 2.00
Raw formation energy in meV per atom: -2009

Cell lengths 7.3996, 8.4318, 8.0231 Å; angles 90.00, 116.30, 90.00 degrees
Space group C2/c (No. 15)
Symmetry-distinct sites (fractional):
1 Np 0.2500 0.2500 0.0000 [4 per cell]
2 Hg 0.0000 0.0956 0.2500 [4 per cell]
3 B 0.0000 0.4307 0.2500 [4 per cell]
4 O 0.0000 0.1518 0.7500 [4 per cell]
5 O 0.0554 0.3228 0.1323 [8 per cell]
6 O 0.1748 0.4655 0.8662 [8 per cell]


# 2
First-principles (PBE) data for a relaxed NpHgBO6 crystal, as listed in Alexandria via LeMat-Bulk.

Output
Magnetic moment in μB/f.u.: 0.00
Raw formation energy in meV per atom: -1877

Cell lengths 4.4877, 10.6908, 4.8987 Å; angles 90.00, 92.78, 90.00 degrees
Space group C2 (No. 5)
Symmetry-distinct sites (fractional):
1 Np 0.0000 0.0000 0.0000 [2 per cell]
2 Hg 0.0000 0.7229 0.5000 [2 per cell]
3 B 0.0000 0.2756 0.0000 [2 per cell]
4 O 0.1730 0.1844 0.1811 [4 per cell]
5 O 0.2128 0.3514 0.8514 [4 per cell]
6 O 0.2350 0.0000 0.7110 [4 per cell]


# 3
First-principles (PBE) data for a relaxed HgB2O crystal, as listed in Alexandria via LeMat-Bulk.

Output
Magnetic moment in μB/f.u.: 0.00
Energy relative to the lowest polymorph listed for this composition in eV/f.u.: 0.000
Raw formation energy in meV per atom: 733

Cell lengths 4.7031, 4.7031, 8.3704 Å; angles 90.00, 90.00, 90.00 degrees
Space group I-42d (No. 122)
Symmetry-distinct sites (fractional):
1 Hg 0.0000 0.0000 0.0000 [4 per cell]
2 B 0.1532 0.2500 0.6250 [8 per cell]
3 O 0.0000 0.0000 0.5000 [4 per cell]